No. 1
Below is a PBEsol-optimized structure of MnCuIr2, with properties calculated at the meta-GGA SCAN level.

It has space group Imm2 (No. 44), with a = 2.8893 Å, b = 4.2118 Å, c = 8.5064 Å, α = 90.00°, β = 90.00° and γ = 90.00°. The distinct sites, in fractional coordinates, are Mn at (0.0000, 0.0000, 0.0000), Cu at (0.0000, 0.5000, 0.7325), Ir at (0.0000, 0.0000, 0.4836) and Ir at (0.0000, 0.5000, 0.2544).

Its energy of formation is -0.04 eV/atom. The calculation puts the calculated density at 16.1 g/cm³. As for the total DFT energy (no corrections): -43.95 eV/atom.

No. 2
Below is a PBEsol-optimized structure of MnCuIrO2, with properties calculated at the meta-GGA SCAN level.

It has space group P4/mmm (No. 123), with a = 3.6846 Å, b = 3.6846 Å, c = 5.5605 Å, α = 90.00°, β = 90.00° and γ = 90.00°. The distinct sites, in fractional coordinates, are Mn at (0.0000, 0.0000, 0.0000), Cu at (0.5000, 0.5000, 0.0000), Ir at (0.0000, 0.0000, 0.5000) and O at (0.0000, 0.5000, 0.5000).

The calculation puts the calculated density at 7.5 g/cm³. As for the total DFT energy (no corrections): -23.39 eV/atom.

No. 3
Below is a PBEsol-optimized structure of CuMoIr2, with properties calculated at the meta-GGA SCAN level.

It has space group C2/m (No. 12), with a = 5.3887 Å, b = 8.7891 Å, c = 2.6792 Å, α = 90.00°, β = 118.14° and γ = 90.00°. The distinct sites, in fractional coordinates, are Cu at (0.0000, 0.0000, 0.0000), Mo at (0.0000, 0.5000, 0.0000) and Ir at (0.2500, 0.2500, 0.5000).

Its energy of formation is 0.16 eV/atom. The calculation puts the calculated density at 16.1 g/cm³. The distance to the lowest polymorph of the same formula comes out at 260 meV/atom. As for the total DFT energy (no corrections): -47.91 eV/atom.

No. 4
Below is a PBEsol-optimized structure of CuMoIr2, with properties calculated at the meta-GGA SCAN level.

It has space group Pmm2 (No. 25), with a = 2.7099 Å, b = 3.8712 Å, c = 5.2447 Å, α = 90.00°, β = 90.00° and γ = 90.00°. The distinct sites, in fractional coordinates, are Cu at (0.0000, 0.0000, 0.0000), Mo at (0.5000, 0.5000, 0.7465), Ir at (0.0000, 0.0000, 0.5032) and Ir at (0.5000, 0.5000, 0.2192).

Its energy of formation is -0.08 eV/atom. The calculation puts the calculated density at 16.4 g/cm³. The distance to the lowest polymorph of the same formula comes out at 20 meV/atom. As for the total DFT energy (no corrections): -48.15 eV/atom.

No. 5
Below is a PBEsol-optimized structure of CuMoIr2, with properties calculated at the meta-GGA SCAN level.

It has space group F-43m (No. 216), with a = 6.0710 Å, b = 6.0710 Å, c = 6.0710 Å, α = 90.00°, β = 90.00° and γ = 90.00°. The distinct sites, in fractional coordinates, are Cu at (0.0000, 0.0000, 0.0000), Mo at (0.2500, 0.2500, 0.2500), Ir at (0.0000, 0.0000, 0.5000) and Ir at (0.2500, 0.2500, 0.7500).

Its energy of formation is 0.26 eV/atom. The calculation puts the calculated density at 16.1 g/cm³. The distance to the lowest polymorph of the same formula comes out at 361 meV/atom. As for the total DFT energy (no corrections): -47.81 eV/atom.

No. 6
Below is a PBEsol-optimized structure of CuMoIr2, with properties calculated at the meta-GGA SCAN level.

It has space group R-3m (No. 166, hexagonal axes), with a = 2.7196 Å, b = 2.7196 Å, c = 25.9361 Å, α = 90.00°, β = 90.00° and γ = 120.00°. The distinct sites, in fractional coordinates, are Cu at (0.0000, 0.0000, 0.0000), Mo at (0.0000, 0.0000, 0.5000) and Ir at (0.0000, 0.0000, 0.2507).

Its energy of formation is -0.10 eV/atom. The calculation puts the calculated density at 16.3 g/cm³. The distance to the lowest polymorph of the same formula comes out at 0 meV/atom. As for the total DFT energy (no corrections): -48.17 eV/atom.

No. 7
Below is a PBEsol-optimized structure of CuIrN2O, with properties calculated at the meta-GGA SCAN level.

It has space group P4/mmm (No. 123), with a = 3.7112 Å, b = 3.7112 Å, c = 4.2057 Å, α = 90.00°, β = 90.00° and γ = 90.00°. The distinct sites, in fractional coordinates, are Cu at (0.0000, 0.0000, 0.0000), Ir at (0.5000, 0.5000, 0.5000), N at (0.0000, 0.5000, 0.5000) and O at (0.5000, 0.5000, 0.0000).

The calculation puts the calculated density at 8.6 g/cm³. As for the total DFT energy (no corrections): -21.26 eV/atom.

No. 8
Below is a PBEsol-optimized structure of CuIrSeN2, with properties calculated at the meta-GGA SCAN level.

It has space group P4/mmm (No. 123), with a = 3.6331 Å, b = 3.6331 Å, c = 5.0561 Å, α = 90.00°, β = 90.00° and γ = 90.00°. The distinct sites, in fractional coordinates, are Cu at (0.0000, 0.0000, 0.0000), Ir at (0.5000, 0.5000, 0.5000), Se at (0.0000, 0.0000, 0.5000) and N at (0.0000, 0.5000, 0.0000).

The calculation puts the calculated density at 9.0 g/cm³. As for the total DFT energy (no corrections): -23.22 eV/atom.

No. 9
Below is a PBEsol-optimized structure of CuNiIr2, with properties calculated at the meta-GGA SCAN level.

It has space group R-3m (No. 166, hexagonal axes), with a = 2.6565 Å, b = 2.6565 Å, c = 24.9561 Å, α = 90.00°, β = 90.00° and γ = 120.00°. The distinct sites, in fractional coordinates, are Cu at (0.0000, 0.0000, 0.0000), Ni at (0.0000, 0.0000, 0.5000) and Ir at (0.0000, 0.0000, 0.2481).

Its energy of formation is 0.03 eV/atom. The calculation puts the calculated density at 16.5 g/cm³. The distance to the lowest polymorph of the same formula comes out at 0 meV/atom. As for the total DFT energy (no corrections): -43.36 eV/atom.

No. 10
Below is a PBEsol-optimized structure of CuNiIr2, with properties calculated at the meta-GGA SCAN level.

It has space group R3m (No. 160, hexagonal axes), with a = 2.6566 Å, b = 2.6566 Å, c = 24.9820 Å, α = 90.00°, β = 90.00° and γ = 120.00°. The distinct sites, in fractional coordinates, are Cu at (0.0000, 0.0000, 0.0000), Ni at (0.0000, 0.0000, 0.7445), Ir at (0.0000, 0.0000, 0.2477) and Ir at (0.0000, 0.0000, 0.4926).

Its energy of formation is 0.07 eV/atom. The calculation puts the calculated density at 16.5 g/cm³. The distance to the lowest polymorph of the same formula comes out at 42 meV/atom. As for the total DFT energy (no corrections): -43.32 eV/atom.

No. 11
Below is a PBEsol-optimized structure of CuNiIr2, with properties calculated at the meta-GGA SCAN level.

It has space group P4mm (No. 99), with a = 2.6920 Å, b = 2.6920 Å, c = 6.9296 Å, α = 90.00°, β = 90.00° and γ = 90.00°. The distinct sites, in fractional coordinates, are Cu at (0.0000, 0.0000, 0.0000), Ni at (0.5000, 0.5000, 0.7730), Ir at (0.0000, 0.0000, 0.5267) and Ir at (0.5000, 0.5000, 0.2607).

Its energy of formation is 0.06 eV/atom. The calculation puts the calculated density at 16.8 g/cm³. The distance to the lowest polymorph of the same formula comes out at 30 meV/atom. As for the total DFT energy (no corrections): -43.33 eV/atom.

No. 12
Below is a PBEsol-optimized structure of CuNiIr2, with properties calculated at the meta-GGA SCAN level.

It has space group Cm (No. 8), with a = 8.6853 Å, b = 2.6817 Å, c = 4.4163 Å, α = 90.00°, β = 100.66° and γ = 90.00°. The distinct sites, in fractional coordinates, are Cu at (0.0000, 0.0000, 0.0000), Ni at (0.2498, 0.0000, 0.7804), Ir at (0.0024, 0.5000, 0.5044) and Ir at (0.2540, 0.5000, 0.2818).

Its energy of formation is 0.04 eV/atom. The calculation puts the calculated density at 16.6 g/cm³. The distance to the lowest polymorph of the same formula comes out at 15 meV/atom. As for the total DFT energy (no corrections): -43.35 eV/atom.

Q: The lowest calculated density belongs to which entry?
A: MnCuIrO2

Q: What is the formula in the sixth record?
A: CuMoIr2

Please write out number 1 again, unchanged.
Below is a PBEsol-optimized structure of MnCuIr2, with properties calculated at the meta-GGA SCAN level.

It has space group Imm2 (No. 44), with a = 2.8893 Å, b = 4.2118 Å, c = 8.5064 Å, α = 90.00°, β = 90.00° and γ = 90.00°. The distinct sites, in fractional coordinates, are Mn at (0.0000, 0.0000, 0.0000), Cu at (0.0000, 0.5000, 0.7325), Ir at (0.0000, 0.0000, 0.4836) and Ir at (0.0000, 0.5000, 0.2544).

Its energy of formation is -0.04 eV/atom. The calculation puts the calculated density at 16.1 g/cm³. As for the total DFT energy (no corrections): -43.95 eV/atom.